First-principles (PBE) data for crystalline LaCe2Tm3Se6 at its relaxed geometry, as listed in the Alexandria database.

## Properties
SG: C2/m (12)
Formation energy from raw total energies: -1.785 eV/atom
V: 298.68 Å³/cell
Mass density: 7.8 g/cm³
Uncorrected energy: -6.045 eV per atom

Cell lengths 7.0640, 7.0640, 7.3078 Å; angles 99.28, 99.28, 120.07 degrees
Closest atoms and distances in Å follow each position.
Fractional positions:
Ce 0.3331 0.6669 0.0000  6 Se 2.99-3.00
Ce 0.6669 0.3331 0.0000  6 Se 2.99-3.00
Tm 0.5000 0.5000 0.5000  6 Se 2.82-2.85
Tm 0.1638 0.8362 0.5000  6 Se 2.84-2.85
Tm 0.8362 0.1638 0.5000  6 Se 2.84-2.85
La 0.0000 0.0000 0.0000  6 Se 3.02-3.03
Se 0.4277 0.0905 0.2710  3 Tm 2.84-2.85, 2 Ce 3.00, 1 La 3.03
Se 0.7518 0.7518 0.2680  3 Tm 2.82-2.84, 2 Ce 2.99, 1 La 3.02
Se 0.9095 0.5723 0.7290  3 Tm 2.84-2.85, 2 Ce 3.00, 1 La 3.03
Se 0.5723 0.9095 0.7290  3 Tm 2.84-2.85, 2 Ce 3.00, 1 La 3.03
Se 0.2482 0.2482 0.7320  3 Tm 2.82-2.84, 2 Ce 2.99, 1 La 3.02
Se 0.0905 0.4277 0.2710  3 Tm 2.84-2.85, 2 Ce 3.00, 1 La 3.03